A geometry-optimized CaZrRe2 structure. Source: Alexandria, functional GGA-PBE. Values from VASP.

```
&SYSTEM
  ibrav = 0, nat = 4, ntyp = 3
/
ATOMIC_SPECIES
Re 186.21 Re.upf
Zr 91.22 Zr.upf
Ca 40.08 Ca.upf
CELL_PARAMETERS angstrom
4.619 0.000 0.000
0.000 4.037 0.000
0.000 0.000 4.037
ATOMIC_POSITIONS crystal
Re 0.000 0.000 0.000
Re 0.000 0.500 0.500
Zr 0.500 0.500 0.000
Ca 0.500 0.000 0.500
```

Output
For the formation energy, the calculation gives 748 meV per atom. The energy comes out at -32.46 eV for the cell shown.